# Mo2HPd

Crystalline Mo2HPd at its relaxed geometry (PBE, Alexandria).

Values from the calculation:
Electronic total energy ... -28.7 eV/cell
SG ... R-3m
D(E_F) ... 0.993 states/eV/atom

a b c (Å): 2.808 2.808 7.783
angles (deg): 79.61 79.61 60.00
Positions (direct):
Mo (0.114, 0.114, 0.659)
Mo (0.886, 0.886, 0.341)
Pd (0.000, 0.000, 0.000)
H (0.500, 0.500, 0.500)